1.
Entry from OQMD: a relaxed structure of BeCuTcSb (PBE).

```
BeCuTcSb
1.0
0.000 3.068 3.068
3.068 0.000 3.068
3.068 3.068 0.000
Be Cu Sb Tc
1 1 1 1
Direct
0.500 0.500 0.500
0.750 0.750 0.750
0.000 0.000 0.000
0.250 0.250 0.250
```

space group = F-43m, No. 216
V = 58 Å³ per cell
total energy = -5.130 eV/atom

=====

2.
Entry from OQMD: a relaxed structure of YZrBe (PBE).

```
YZrBe
1.0
1.876 0.938 4.062
0.077 4.303 1.543
-2.655 1.215 3.518
Be Y Zr
1 1 1
Direct
0.000 0.000 0.000
0.250 0.250 0.250
0.750 0.750 0.750
```

space group = F-43m, No. 216
V = 68 Å³ per cell
total energy = -5.882 eV/atom

=====

3.
Entry from OQMD: a relaxed structure of AcGdAsO (PBE).

```
AcGdAsO
1.0
-3.634 -1.972 -1.904
2.216 -0.254 -3.968
3.249 -8.250 2.343
Ac As Gd O
2 2 2 2
Direct
0.000 0.000 0.500
0.500 0.500 0.500
0.500 0.000 0.271
0.000 0.500 0.729
0.000 0.500 0.080
0.500 0.000 0.920
0.000 0.000 0.000
0.500 0.500 0.000
```

space group = P4/nmm, No. 129
V = 190 Å³ per cell
total energy = -6.212 eV/atom

=====

4.
Entry from OQMD: a relaxed structure of Cu2Ag (PBE).

```
Cu2Ag
1.0
-1.393 1.701 13.252
1.393 -1.701 13.252
1.393 1.701 -13.252
Ag Cu
3 6
Direct
0.070 0.070 0.000
0.500 0.500 0.000
0.930 0.930 0.000
0.177 0.177 0.000
0.274 0.274 0.000
0.370 0.370 0.000
0.630 0.630 0.000
0.726 0.726 0.000
0.823 0.823 0.000
```

space group = Immm, No. 71
V = 126 Å³ per cell
total energy = -3.366 eV/atom
DFT formation energy = 0.05 eV/atom

=====

5.
Entry from OQMD: a relaxed structure of Tl2TcF6 (PBE).

```
Tl2TcF6
1.0
5.068 -2.926 0.000
5.068 2.926 0.000
0.000 0.000 4.669
F Tc Tl
6 1 2
Direct
0.162 0.162 0.230
0.676 0.162 0.230
0.162 0.676 0.230
0.838 0.324 0.770
0.324 0.838 0.770
0.838 0.838 0.770
0.000 0.000 0.000
0.667 0.667 0.300
0.333 0.333 0.700
```

space group = P-3m1, No. 164
V = 138 Å³ per cell
total energy = -4.960 eV/atom

=====

6.
Entry from OQMD: a relaxed structure of Y2HoCo6Ni3 (PBE).

```
Y2HoCo6Ni3
1.0
-1.445 8.234 2.449
3.033 8.153 0.466
-0.921 8.318 -2.421
Co Ho Ni Y
6 1 3 2
Direct
0.581 0.581 0.081
0.919 0.419 0.419
0.419 0.919 0.419
0.581 0.081 0.581
0.081 0.581 0.581
0.419 0.419 0.919
0.000 0.000 0.000
0.333 0.333 0.333
0.500 0.500 0.500
0.667 0.667 0.667
0.139 0.139 0.139
0.861 0.861 0.861
```

space group = R-3m, No. 166
V = 171 Å³ per cell
total energy = -6.646 eV/atom
DFT formation energy = -0.24 eV/atom

=====

7.
Entry from OQMD: a relaxed structure of GdScS3 (PBE).

```
GdScS3
1.0
7.062 0.000 0.000
0.000 9.517 0.000
0.000 0.000 6.404
Gd S Sc
4 12 4
Direct
0.101 0.250 0.040
0.601 0.250 0.460
0.399 0.750 0.540
0.899 0.750 0.960
0.545 0.750 0.141
0.815 0.069 0.176
0.815 0.431 0.176
0.315 0.069 0.324
0.315 0.431 0.324
0.045 0.750 0.359
0.955 0.250 0.641
0.685 0.569 0.676
0.685 0.931 0.676
0.185 0.569 0.824
0.185 0.931 0.824
0.455 0.250 0.859
0.500 0.000 0.000
0.500 0.500 0.000
0.000 0.000 0.500
0.000 0.500 0.500
```

space group = Pnma, No. 62
V = 430 Å³ per cell
total energy = -6.674 eV/atom

=====

8.
Entry from OQMD: a relaxed structure of LiSnAu (PBE).

```
LiSnAu
1.0
4.732 0.000 0.000
-2.366 4.098 0.000
0.000 0.000 5.756
Au Li Sn
2 2 2
Direct
0.000 0.000 0.000
0.000 0.000 0.500
0.667 0.333 0.250
0.333 0.667 0.750
0.333 0.667 0.250
0.667 0.333 0.750
```

space group = P6_3/mmc, No. 194
V = 112 Å³ per cell
total energy = -3.351 eV/atom